A relaxed structure of YZr2Cu, computed with PBEsol.

Cell lengths 4.351, 4.351, 5.335 Å; angles 114.06, 114.06, 90.00 degrees
Sites, in units of the cell vectors:
Zr 0.000 0.000 0.000
Zr 0.750 0.250 0.500
Y 0.250 0.750 0.500
Cu 0.500 0.500 0.000

SG   I-4m2, No. 119
ΔE to the lowest computed polymorph   224 meV per atom
Size of the total moment   0.0 μB per cell
Energy of formation   0.66 eV per formula unit